Arrangement A

Density functional theory data (PBE) for a geometry-optimized GeRh2O structure.

```
GeRh2O
1.0
4.6389 0.0000 0.0000
0.0000 4.6389 0.0000
0.0000 0.0000 11.9747
Ge Rh O
4 8 4
Direct
0.0000 0.0000 0.0000 Ge
0.0000 0.5000 0.2500 Ge
0.5000 0.0000 0.7500 Ge
0.5000 0.5000 0.5000 Ge
0.1597 0.2500 0.6250 Rh
0.2500 0.6597 0.8750 Rh
0.2500 0.8403 0.3750 Rh
0.3403 0.2500 0.1250 Rh
0.6597 0.7500 0.1250 Rh
0.7500 0.1597 0.3750 Rh
0.7500 0.3403 0.8750 Rh
0.8403 0.7500 0.6250 Rh
0.0000 0.0000 0.5000 O
0.0000 0.5000 0.7500 O
0.5000 0.0000 0.2500 O
0.5000 0.5000 0.0000 O
```

## Properties
DOS(E_F): 1.19 states/eV/f.u.
M_tot: 0.00 μB per formula unit

=====

Arrangement B

Density functional theory data (PBE) for a geometry-optimized GeRh2O structure.

```
GeRh2O
1.0
5.8817 0.0000 0.0000
0.0000 5.8817 0.0000
0.0000 0.0000 5.8817
Ge Rh O
4 8 4
Direct
0.0000 0.0000 0.0000 Ge
0.0000 0.5000 0.5000 Ge
0.5000 0.0000 0.5000 Ge
0.5000 0.5000 0.0000 Ge
0.2500 0.2500 0.2500 Rh
0.2500 0.2500 0.7500 Rh
0.2500 0.7500 0.2500 Rh
0.2500 0.7500 0.7500 Rh
0.7500 0.2500 0.2500 Rh
0.7500 0.2500 0.7500 Rh
0.7500 0.7500 0.2500 Rh
0.7500 0.7500 0.7500 Rh
0.0000 0.0000 0.5000 O
0.0000 0.5000 0.0000 O
0.5000 0.0000 0.0000 O
0.5000 0.5000 0.5000 O
```

## Properties
DOS(E_F): 3.35 states/eV/f.u.
M_tot: 0.00 μB per formula unit

=====

Most stable structure, least stable structure: arrangement A, arrangement B.

=====

Arrangement A

Density functional theory data (PBE) for a geometry-optimized GeRu2O structure.

```
GeRu2O
1.0
5.9035 0.0000 0.0000
0.0000 5.9035 0.0000
0.0000 0.0000 5.9035
Ge Ru O
4 8 4
Direct
0.0000 0.0000 0.0000 Ge
0.0000 0.5000 0.5000 Ge
0.5000 0.0000 0.5000 Ge
0.5000 0.5000 0.0000 Ge
0.2500 0.2500 0.2500 Ru
0.2500 0.2500 0.7500 Ru
0.2500 0.7500 0.2500 Ru
0.2500 0.7500 0.7500 Ru
0.7500 0.2500 0.2500 Ru
0.7500 0.2500 0.7500 Ru
0.7500 0.7500 0.2500 Ru
0.7500 0.7500 0.7500 Ru
0.0000 0.0000 0.5000 O
0.0000 0.5000 0.0000 O
0.5000 0.0000 0.0000 O
0.5000 0.5000 0.5000 O
```

## Properties
DOS(E_F): 5.57 states/eV/f.u.
M_tot: 0.61 μB per formula unit

=====

Arrangement B

Density functional theory data (PBE) for a geometry-optimized GeRu2O structure.

```
GeRu2O
1.0
5.2878 0.0000 0.0000
0.0000 5.2878 0.0000
0.0000 0.0000 9.4728
Ge Ru O
4 8 4
Direct
0.0000 0.0000 0.0000 Ge
0.0000 0.5000 0.2500 Ge
0.5000 0.0000 0.7500 Ge
0.5000 0.5000 0.5000 Ge
0.1768 0.2500 0.6250 Ru
0.2500 0.6768 0.8750 Ru
0.2500 0.8232 0.3750 Ru
0.3232 0.2500 0.1250 Ru
0.6768 0.7500 0.1250 Ru
0.7500 0.1768 0.3750 Ru
0.7500 0.3232 0.8750 Ru
0.8232 0.7500 0.6250 Ru
0.0000 0.0000 0.5000 O
0.0000 0.5000 0.7500 O
0.5000 0.0000 0.2500 O
0.5000 0.5000 0.0000 O
```

## Properties
DOS(E_F): 1.23 states/eV/f.u.
M_tot: 0.00 μB per formula unit

=====

Most stable structure, least stable structure: arrangement B, arrangement A.